The following is a GGA-PBE calculation of crystalline YOs2Au at its relaxed geometry, from the Alexandria database.

Density: 15.19 Mg/m³
M_tot: 0.000 μB/atom
Total DFT energy (no corrections): -7.74 eV per atom
Formation energy: 30.2 kJ per mole of atoms

Cell and atoms, written as extended XYZ:
```
8
Lattice="9.639 0.000 0.000 0.000 3.029 0.000 -1.063 0.000 4.989" Properties=species:S:1:pos:R:3 pbc="T T T"
Y 0.000 0.000 0.000
Y 4.819 1.514 0.000
Os 1.577 0.000 3.505
Os 2.180 1.514 1.484
Os 6.396 1.514 3.505
Os 6.999 0.000 1.484
Au -0.531 1.514 2.495
Au 4.288 0.000 2.495
```